An optimized crystal structure of NaCaIn4, computed with PBE-GGA.

Geometry as extended XYZ:
```
6
Lattice="0.0000 4.3769 4.3769 4.3769 0.0000 4.3769 4.3769 4.3769 0.0000" Properties=species:S:1:pos:R:3 pbc="T T T"
Na 0.0000 0.0000 0.0000
Ca 2.1885 2.1885 2.1885
In 5.4717 3.2821 3.2821
In 3.2821 5.4717 3.2821
In 3.2821 3.2821 5.4717
In 5.4717 5.4717 5.4717
```

Density of states at the Fermi level   2.18 states/eV per cell
VASP energy   -15.7 eV/cell
Calculated formation energy   -0.24 eV per atom
Distance to the lowest polymorph of the same formula   22 meV/atom
Spin magnetization   0.00 μB per formula unit